An optimized crystal structure of SrCa2NiPd. Source: the Alexandria database, functional PBE.

For the formation energy from the elements, the calculation gives 1228 meV/atom. The magnetic moment is 0.44 μB per formula unit.

The structure belongs to space group P4/mmm (No. 123); the cell edges are 6.3417, 6.3417 and 4.9916 Å and the angles 90.00°, 90.00° and 90.00°. The distinct sites, in fractional coordinates, are Sr at (0.0000, 0.0000, 0.0000), Ca at (0.0000, 0.5000, 0.0000), Ni at (0.5000, 0.5000, 0.5000) and Pd at (0.0000, 0.0000, 0.5000).

***

An optimized crystal structure of CaTbNiPd. Source: the Alexandria database, functional PBE.

For the formation energy from the elements, the calculation gives -464 meV/atom. The magnetic moment is 0.00 μB per formula unit.

The structure belongs to space group F-43m (No. 216); the cell edges are 6.9256, 6.9256 and 6.9256 Å and the angles 90.00°, 90.00° and 90.00°. The distinct sites, in fractional coordinates, are Ca at (0.0000, 0.0000, 0.0000), Tb at (0.0000, 0.0000, 0.5000), Ni at (0.2500, 0.2500, 0.7500) and Pd at (0.2500, 0.2500, 0.2500).

***

An optimized crystal structure of CaTmNiPd. Source: the Alexandria database, functional PBE.

For the formation energy from the elements, the calculation gives -481 meV/atom. The magnetic moment is 0.00 μB per formula unit.

The structure belongs to space group F-43m (No. 216); the cell edges are 6.8587, 6.8587 and 6.8587 Å and the angles 90.00°, 90.00° and 90.00°. The distinct sites, in fractional coordinates, are Ca at (0.0000, 0.0000, 0.0000), Tm at (0.0000, 0.0000, 0.5000), Ni at (0.2500, 0.2500, 0.7500) and Pd at (0.2500, 0.2500, 0.2500).

***

An optimized crystal structure of CaVNi2Pd. Source: the Alexandria database, functional PBE.

For the formation energy from the elements, the calculation gives 1556 meV/atom. The magnetic moment is 0.49 μB per formula unit.

The structure belongs to space group P4/mmm (No. 123); the cell edges are 4.4834, 4.4834 and 4.7982 Å and the angles 90.00°, 90.00° and 90.00°. The distinct sites, in fractional coordinates, are Ca at (0.0000, 0.0000, 0.0000), V at (0.5000, 0.5000, 0.5000), Ni at (0.0000, 0.5000, 0.0000) and Pd at (0.0000, 0.0000, 0.5000).

***

An optimized crystal structure of CaYNiPd2. Source: the Alexandria database, functional PBE.

For the formation energy from the elements, the calculation gives 340 meV/atom. The magnetic moment is 0.00 μB per formula unit.

The structure belongs to space group P4/mmm (No. 123); the cell edges are 4.9477, 4.9477 and 4.6679 Å and the angles 90.00°, 90.00° and 90.00°. The distinct sites, in fractional coordinates, are Ca at (0.0000, 0.0000, 0.0000), Y at (0.5000, 0.5000, 0.5000), Ni at (0.0000, 0.0000, 0.5000) and Pd at (0.0000, 0.5000, 0.0000).

***

An optimized crystal structure of CaYNiPd. Source: the Alexandria database, functional PBE.

For the formation energy from the elements, the calculation gives -463 meV/atom. The magnetic moment is 0.00 μB per formula unit.

The structure belongs to space group F-43m (No. 216); the cell edges are 6.9255, 6.9255 and 6.9255 Å and the angles 90.00°, 90.00° and 90.00°. The distinct sites, in fractional coordinates, are Ca at (0.0000, 0.0000, 0.0000), Y at (0.0000, 0.0000, 0.5000), Ni at (0.2500, 0.2500, 0.7500) and Pd at (0.2500, 0.2500, 0.2500).

***

An optimized crystal structure of Ca2Zn5Ni2Pd. Source: the Alexandria database, functional PBE.

For the formation energy from the elements, the calculation gives -274 meV/atom. The magnetic moment is 0.00 μB per formula unit.

The structure belongs to space group P4/mbm (No. 127); the cell edges are 9.4742, 9.4742 and 3.7814 Å and the angles 90.00°, 90.00° and 90.00°. The distinct sites, in fractional coordinates, are Ca at (0.1798, 0.3202, 0.0000), Zn at (0.0000, 0.5000, 0.5000), Zn at (0.0590, 0.7977, 0.5000), Ni at (0.1157, 0.6157, 0.0000) and Pd at (0.0000, 0.0000, 0.0000).

***

An optimized crystal structure of CaZn3NiPd. Source: the Alexandria database, functional PBE.

For the formation energy from the elements, the calculation gives -273 meV/atom. The magnetic moment is 0.00 μB per formula unit.

The structure belongs to space group Cmcm (No. 63); the cell edges are 6.3697, 12.5677 and 5.3748 Å and the angles 90.00°, 90.00° and 90.00°. The distinct sites, in fractional coordinates, are Ca at (0.0000, 0.2307, 0.2500), Zn at (0.0000, 0.3571, 0.7500), Zn at (0.2027, 0.0000, 0.0000), Ni at (0.0000, 0.4483, 0.2500) and Pd at (0.0000, 0.1483, 0.7500).

***

An optimized crystal structure of Ca2Zn2NiPd5. Source: the Alexandria database, functional PBE.

For the formation energy from the elements, the calculation gives -462 meV/atom. The magnetic moment is 0.36 μB per formula unit.

The structure belongs to space group P4/mbm (No. 127); the cell edges are 9.8091, 9.8091 and 3.6166 Å and the angles 90.00°, 90.00° and 90.00°. The distinct sites, in fractional coordinates, are Ca at (0.1754, 0.3246, 0.0000), Zn at (0.1262, 0.6262, 0.0000), Ni at (0.0000, 0.0000, 0.0000), Pd at (0.0000, 0.5000, 0.5000) and Pd at (0.0614, 0.8028, 0.5000).

***

An optimized crystal structure of CaPmNi. Source: the Alexandria database, functional PBE.

For the formation energy from the elements, the calculation gives -119 meV/atom. The magnetic moment is 0.00 μB per formula unit. The value obtained for the energy above the lowest structure with this stoichiometry is 0.106 eV/atom.

The structure belongs to space group I4mm (No. 107); the cell edges are 3.5040, 3.5040 and 13.0561 Å and the angles 90.00°, 90.00° and 90.00°. The distinct sites, in fractional coordinates, are Ca at (0.0000, 0.0000, 0.0000), Pm at (0.0000, 0.0000, 0.2546) and Ni at (0.0000, 0.0000, 0.6420).

***

An optimized crystal structure of CaPmNi2. Source: the Alexandria database, functional PBE.

For the formation energy from the elements, the calculation gives -171 meV/atom. The magnetic moment is 0.00 μB per formula unit. The value obtained for the energy above the lowest structure with this stoichiometry is 0.066 eV/atom.

The structure belongs to space group P4/mmm (No. 123); the cell edges are 3.4607, 3.4607 and 6.8936 Å and the angles 90.00°, 90.00° and 90.00°. The distinct sites, in fractional coordinates, are Ca at (0.0000, 0.0000, 0.0000), Pm at (0.0000, 0.0000, 0.5000) and Ni at (0.5000, 0.5000, 0.2744).

***

An optimized crystal structure of CaPm2Ni. Source: the Alexandria database, functional PBE.

For the formation energy from the elements, the calculation gives -114 meV/atom. The magnetic moment is 0.00 μB per formula unit. The value obtained for the energy above the lowest structure with this stoichiometry is 0.000 eV/atom.

The structure belongs to space group Cmcm (No. 63); the cell edges are 3.8577, 12.5148 and 9.5871 Å and the angles 90.00°, 90.00° and 90.00°. The distinct sites, in fractional coordinates, are Ca at (0.0000, 0.0801, 0.2500), Pm at (0.0000, 0.3584, 0.0689) and Ni at (0.0000, 0.2291, 0.7500).

***

An optimized crystal structure of CaPmNi. Source: the Alexandria database, functional PBE.

For the formation energy from the elements, the calculation gives -20 meV/atom. The magnetic moment is 0.00 μB per formula unit. The value obtained for the energy above the lowest structure with this stoichiometry is 0.205 eV/atom.

The structure belongs to space group F-43m (No. 216); the cell edges are 6.8763, 6.8763 and 6.8763 Å and the angles 90.00°, 90.00° and 90.00°. The distinct sites, in fractional coordinates, are Ca at (0.0000, 0.0000, 0.0000), Pm at (0.0000, 0.0000, 0.5000) and Ni at (0.2500, 0.2500, 0.7500).

***

An optimized crystal structure of CaPmNi. Source: the Alexandria database, functional PBE.

For the formation energy from the elements, the calculation gives -83 meV/atom. The magnetic moment is 0.00 μB per formula unit. The value obtained for the energy above the lowest structure with this stoichiometry is 0.142 eV/atom.

The structure belongs to space group Fddd (No. 70, origin choice 2); the cell edges are 5.5669, 10.6999 and 20.6766 Å and the angles 90.00°, 90.00° and 90.00°. The distinct sites, in fractional coordinates, are Ca at (0.1250, 0.2846, 0.1250), Pm at (0.1250, 0.1250, 0.5342) and Ni at (0.1250, 0.1250, 0.0006).

***

An optimized crystal structure of Ca2PmNi. Source: the Alexandria database, functional PBE.

For the formation energy from the elements, the calculation gives -94 meV/atom. The magnetic moment is 0.00 μB per formula unit.

The structure belongs to space group P2_1/m (No. 11); the cell edges are 3.8229, 9.9291 and 6.6068 Å and the angles 90.00°, 106.82° and 90.00°. The distinct sites, in fractional coordinates, are Ca at (0.1424, 0.0698, 0.2849), Pm at (0.4094, 0.2500, 0.8201) and Ni at (0.2402, 0.7500, 0.4787).

***

An optimized crystal structure of CaPm2Ni. Source: the Alexandria database, functional PBE.

For the formation energy from the elements, the calculation gives -75 meV/atom. The magnetic moment is 0.00 μB per formula unit. The value obtained for the energy above the lowest structure with this stoichiometry is 0.039 eV/atom.

The structure belongs to space group R-3m (No. 166, hexagonal axes); the cell edges are 3.9533, 3.9533 and 28.9601 Å and the angles 90.00°, 90.00° and 120.00°. The distinct sites, in fractional coordinates, are Ca at (0.0000, 0.0000, 0.0000), Pm at (0.0000, 0.0000, 0.2207) and Ni at (0.0000, 0.0000, 0.5000).

***

An optimized crystal structure of CaPmNi4. Source: the Alexandria database, functional PBE.

For the formation energy from the elements, the calculation gives -281 meV/atom. The magnetic moment is 0.00 μB per formula unit.

The structure belongs to space group F-43m (No. 216); the cell edges are 7.2321, 7.2321 and 7.2321 Å and the angles 90.00°, 90.00° and 90.00°. The distinct sites, in fractional coordinates, are Ca at (0.0000, 0.0000, 0.0000), Pm at (0.2500, 0.2500, 0.2500) and Ni at (0.1252, 0.1252, 0.6252).

***

An optimized crystal structure of CaPmNi2. Source: the Alexandria database, functional PBE.

For the formation energy from the elements, the calculation gives -237 meV/atom. The magnetic moment is 0.00 μB per formula unit. The value obtained for the energy above the lowest structure with this stoichiometry is 0.000 eV/atom.

The structure belongs to space group Amm2 (No. 38); the cell edges are 4.1150, 3.9627 and 10.6498 Å and the angles 90.00°, 90.00° and 90.00°. The distinct sites, in fractional coordinates, are Ca at (0.0000, 0.0000, 0.0000), Pm at (0.5000, 0.0000, 0.7192), Ni at (0.0000, 0.0000, 0.2913) and Ni at (0.5000, 0.0000, 0.4149).

***

An optimized crystal structure of CaPm3Ni. Source: the Alexandria database, functional PBE.

For the formation energy from the elements, the calculation gives -8 meV/atom. The magnetic moment is 1.07 μB per formula unit. The value obtained for the energy above the lowest structure with this stoichiometry is 0.033 eV/atom.

The structure belongs to space group Pm-3m (No. 221); the cell edges are 5.5156, 5.5156 and 5.5156 Å and the angles 90.00°, 90.00° and 90.00°. The distinct sites, in fractional coordinates, are Ca at (0.0000, 0.0000, 0.0000), Pm at (0.0000, 0.5000, 0.5000) and Ni at (0.5000, 0.5000, 0.5000).

***

An optimized crystal structure of CaPm5Ni2. Source: the Alexandria database, functional PBE.

For the formation energy from the elements, the calculation gives -76 meV/atom. The magnetic moment is 0.00 μB per formula unit.

The structure belongs to space group Immm (No. 71); the cell edges are 4.6950, 7.6079 and 13.3201 Å and the angles 90.00°, 90.00° and 90.00°. The distinct sites, in fractional coordinates, are Ca at (0.0000, 0.0000, 0.0000), Pm at (0.0000, 0.2349, 0.3468), Pm at (0.0000, 0.5000, 0.0000) and Ni at (0.0000, 0.5000, 0.2030).